The following is a DFT calculation (PBE) of a geometry-optimized TlAg4Se structure.

Cell lengths 5.6625, 5.6625, 5.6625 Å; angles 60.00, 60.00, 60.00 degrees
Fractional positions:
Tl1 0.0000 0.0000 0.0000
Ag1 0.1243 0.6252 0.6252
Ag2 0.6252 0.1243 0.6252
Ag3 0.6252 0.6252 0.1243
Ag4 0.6252 0.6252 0.6252
Se1 0.2500 0.2500 0.2500

## Properties
Spin magnetization in μB per formula unit: 0.00
Crystal system: cubic
Raw formation energy in eV/atom: 0.105

***

The following is a DFT calculation (PBE) of a geometry-optimized Pm2Ho2Tl structure.

Cell lengths 5.4705, 5.4705, 12.2059 Å; angles 90.00, 90.00, 120.00 degrees
Fractional positions:
Pm1 0.3333 0.6667 0.0858
Pm2 0.3333 0.6667 0.4142
Pm3 0.6667 0.3333 0.5858
Pm4 0.6667 0.3333 0.9142
Ho1 0.0000 0.0000 0.0000
Ho2 0.0000 0.0000 0.5000
Ho3 0.3333 0.6667 0.7500
Ho4 0.6667 0.3333 0.2500
Tl1 0.0000 0.0000 0.2500
Tl2 0.0000 0.0000 0.7500

## Properties
Spin magnetization in μB per formula unit: 0.00
Crystal system: hexagonal
Energy of formation from the pure elements in eV/f.u.: 0.014

***

The following is a DFT calculation (PBE) of a geometry-optimized CaPuMg17 structure.

Cell lengths 7.8460, 7.8460, 7.8460 Å; angles 82.35, 82.35, 82.35 degrees
Fractional positions:
Ca1 0.0000 0.0000 0.0000
Pu1 0.3325 0.3325 0.3325
Mg1 0.0173 0.0173 0.5055
Mg2 0.0173 0.5055 0.0173
Mg3 0.1671 0.6618 0.6618
Mg4 0.3150 0.3150 0.8211
Mg5 0.3150 0.8211 0.3150
Mg6 0.3625 0.6632 0.9680
Mg7 0.3625 0.9680 0.6632
Mg8 0.5055 0.0173 0.0173
Mg9 0.5641 0.5641 0.5641
Mg10 0.6618 0.1671 0.6618
Mg11 0.6618 0.6618 0.1671
Mg12 0.6632 0.3625 0.9680
Mg13 0.6632 0.9680 0.3625
Mg14 0.7642 0.7642 0.7642
Mg15 0.8211 0.3150 0.3150
Mg16 0.9680 0.3625 0.6632
Mg17 0.9680 0.6632 0.3625

## Properties
Spin magnetization in μB per formula unit: 6.16
Crystal system: trigonal
Energy of formation from the pure elements in eV/f.u.: 0.342

***

The following is a DFT calculation (PBE) of a geometry-optimized MgCuW2 structure.

Cell lengths 2.7883, 2.7883, 28.3831 Å; angles 90.00, 90.00, 120.00 degrees
Fractional positions:
Mg1 0.0000 0.0000 0.0000
Mg2 0.3333 0.6667 0.6667
Mg3 0.6667 0.3333 0.3333
Cu1 0.0000 0.0000 0.5000
Cu2 0.3333 0.6667 0.1667
Cu3 0.6667 0.3333 0.8333
W1 0.0000 0.0000 0.2455
W2 0.0000 0.0000 0.7545
W3 0.3333 0.6667 0.4212
W4 0.3333 0.6667 0.9122
W5 0.6667 0.3333 0.0878
W6 0.6667 0.3333 0.5788

## Properties
Spin magnetization in μB per formula unit: 0.00
Crystal system: trigonal
Energy of formation from the pure elements in eV/f.u.: 2.121

***

The following is a DFT calculation (PBE) of a geometry-optimized Rb2ZrBrCl6 structure.

Cell lengths 7.2969, 8.0049, 8.1199 Å; angles 92.36, 114.04, 116.86 degrees
Fractional positions:
Rb1 0.0000 0.0000 0.0000
Rb2 0.0413 0.5547 0.5134
Zr1 0.5088 0.7730 0.2583
Br1 0.2799 0.2985 0.7671
Cl1 0.1270 0.4723 0.1370
Cl2 0.3780 0.8632 0.9592
Cl3 0.3903 0.9577 0.3988
Cl4 0.6543 0.5951 0.1240
Cl5 0.6710 0.6898 0.5566
Cl6 0.9044 0.0738 0.3668

## Properties
Spin magnetization in μB per formula unit: 1.00
Crystal system: triclinic
Raw formation energy in eV/atom: -1.656

***

The following is a DFT calculation (PBE) of a geometry-optimized Li3ErU3Se8 structure.

Cell lengths 8.0426, 8.0426, 8.0426 Å; angles 60.67, 60.67, 60.67 degrees
Fractional positions:
Li1 0.0000 0.5000 0.5000
Li2 0.5000 0.0000 0.5000
Li3 0.5000 0.5000 0.0000
Er1 0.5000 0.5000 0.5000
U1 0.0000 0.0000 0.5000
U2 0.0000 0.5000 0.0000
U3 0.5000 0.0000 0.0000
Se1 0.2511 0.2511 0.7471
Se2 0.2511 0.7471 0.2511
Se3 0.2532 0.2532 0.2532
Se4 0.2529 0.7489 0.7489
Se5 0.7471 0.2511 0.2511
Se6 0.7468 0.7468 0.7468
Se7 0.7489 0.2529 0.7489
Se8 0.7489 0.7489 0.2529

## Properties
Spin magnetization in μB per formula unit: 8.00
Crystal system: trigonal
Raw formation energy in eV/atom: -1.303

***

The following is a DFT calculation (PBE) of a geometry-optimized KCdTe structure.

Cell lengths 10.6048, 10.1398, 7.8721 Å; angles 70.87, 64.60, 44.53 degrees
Fractional positions:
K1 0.0171 0.0171 0.7329
K2 0.2671 0.2671 0.9829
K3 0.7329 0.7329 0.0171
K4 0.9829 0.9829 0.2671
Cd1 0.0000 0.5000 0.5000
Cd2 0.5000 0.0000 0.5000
Cd3 0.5000 0.5000 0.0000
Cd4 0.5000 0.5000 0.5000
Te1 0.1369 0.6131 0.6131
Te2 0.3869 0.8631 0.8631
Te3 0.6131 0.1369 0.1369
Te4 0.8631 0.3869 0.3869

## Properties
Spin magnetization in μB per formula unit: 0.00
Crystal system: orthorhombic
Raw formation energy in eV/atom: -0.427

***

The following is a DFT calculation (PBE) of a geometry-optimized K2NaAlAu6 structure.

Cell lengths 7.3752, 7.3752, 7.3752 Å; angles 60.00, 60.00, 60.00 degrees
Fractional positions:
K1 0.2500 0.2500 0.2500
K2 0.7500 0.7500 0.7500
Na1 0.0000 0.0000 0.0000
Al1 0.5000 0.5000 0.5000
Au1 0.2640 0.2640 0.7360
Au2 0.2640 0.7360 0.2640
Au3 0.2640 0.7360 0.7360
Au4 0.7360 0.2640 0.2640
Au5 0.7360 0.2640 0.7360
Au6 0.7360 0.7360 0.2640

## Properties
Spin magnetization in μB per formula unit: 0.00
Crystal system: cubic
Energy of formation from the pure elements in eV/f.u.: -0.423

***

Let's list raw total energy in order: -2.77, -4.20, -2.27, -7.37, -3.98, -6.11, -2.15, -2.73 eV per atom.